Record 1
! PBE CePr5Se6, optimized geometry; values from VASP
! SG	C2/m, No. 12
&SYSTEM
  ibrav = 0, nat = 12, ntyp = 3
/
ATOMIC_SPECIES
Ce 140.12 Ce.upf
Pr 140.91 Pr.upf
Se 78.96 Se.upf
CELL_PARAMETERS angstrom
3.680 -6.384 0.000
3.680 6.384 0.000
-2.457 0.000 6.958
ATOMIC_POSITIONS angstrom
Ce 0.000 0.000 0.000
Pr 2.452 4.200 3.479
Pr 3.680 2.140 0.000
Pr 2.452 0.000 3.479
Pr 3.680 -2.140 0.000
Pr 2.452 -4.200 3.479
Se 1.210 2.097 1.719
Se -0.033 0.000 5.219
Se 1.210 -2.097 1.719
Se 3.693 2.097 5.239
Se 4.936 0.000 1.740
Se 3.693 -2.097 5.239

Record 2
! PBE Ce3PrSe4, optimized geometry; values from VASP
! E above lowest polymorph	0.000	eV per atom
! SG	Cmmm, No. 65
&SYSTEM
  ibrav = 0, nat = 8, ntyp = 3
/
ATOMIC_SPECIES
Ce 140.12 Ce.upf
Pr 140.91 Pr.upf
Se 78.96 Se.upf
CELL_PARAMETERS angstrom
4.228 -5.966 0.000
4.228 5.966 0.000
0.000 0.000 4.208
ATOMIC_POSITIONS angstrom
Ce 0.000 0.000 0.000
Ce 2.114 2.983 2.104
Ce 2.114 -2.983 2.104
Pr 4.228 0.000 0.000
Se 2.088 0.000 2.104
Se 4.228 3.000 0.000
Se 4.228 -3.000 0.000
Se 6.369 0.000 2.104

Record 3
! PBE CePr5Se8, optimized geometry; values from VASP
! SG	I-4, No. 82
&SYSTEM
  ibrav = 0, nat = 14, ntyp = 3
/
ATOMIC_SPECIES
Ce 140.12 Ce.upf
Pr 140.91 Pr.upf
Se 78.96 Se.upf
CELL_PARAMETERS angstrom
-4.494 4.494 4.519
4.494 -4.494 4.519
4.494 4.494 -4.519
ATOMIC_POSITIONS angstrom
Ce 0.000 0.000 0.000
Pr 5.553 2.253 -1.152
Pr 4.494 0.000 2.259
Pr 2.253 3.435 1.152
Pr -1.059 2.241 3.367
Pr 2.241 1.059 5.671
Se 2.899 0.667 -0.437
Se 2.913 3.810 -1.800
Se 3.827 -1.595 4.956
Se 1.581 0.684 2.719
Se 5.178 2.913 1.800
Se 0.667 6.089 0.437
Se -0.684 1.581 6.319
Se 1.595 3.827 4.082

Number 1: uncorrected formation energy -178.1 kJ/mol of atoms. Number 2: uncorrected formation energy -176.4 kJ/mol of atoms. Number 3: uncorrected formation energy -179.5 kJ/mol of atoms.